[1]
Below is LiTbZnCo after structural relaxation, with properties calculated at the PBE level.

```
LiTbZnCo
1.0
6.4090 0.0000 0.0000
0.0000 6.4090 0.0000
0.0000 0.0000 6.4090
Li Tb Zn Co
4 4 4 4
Direct
0.0000 0.0000 0.0000 Li
0.0000 0.5000 0.5000 Li
0.5000 0.0000 0.5000 Li
0.5000 0.5000 0.0000 Li
0.2500 0.2500 0.7500 Tb
0.2500 0.7500 0.2500 Tb
0.7500 0.2500 0.2500 Tb
0.7500 0.7500 0.7500 Tb
0.2500 0.2500 0.2500 Zn
0.2500 0.7500 0.7500 Zn
0.7500 0.2500 0.7500 Zn
0.7500 0.7500 0.2500 Zn
0.0000 0.0000 0.5000 Co
0.0000 0.5000 0.0000 Co
0.5000 0.0000 0.0000 Co
0.5000 0.5000 0.5000 Co
```

Summary:
The energy relative to the elements comes out at -0.06 eV per atom. The value obtained for the volume is 263.3 Å³/cell. As for the calculated density: 7.3 g/cm3. Its energy is -60.6 eV/cell.


[2]
Below is PmBe2Al after structural relaxation, with properties calculated at the PBE level.

```
PmBe2Al
1.0
3.9843 0.0000 0.0000
-1.9921 3.4505 0.0000
0.0000 0.0000 15.0694
Pm Be Al
3 6 3
Direct
0.0000 0.0000 0.0000 Pm
0.3333 0.6667 0.6667 Pm
0.6667 0.3333 0.3333 Pm
0.0000 0.0000 0.1974 Be
0.0000 0.0000 0.8026 Be
0.3333 0.6667 0.4692 Be
0.3333 0.6667 0.8641 Be
0.6667 0.3333 0.1359 Be
0.6667 0.3333 0.5308 Be
0.0000 0.0000 0.5000 Al
0.3333 0.6667 0.1667 Al
0.6667 0.3333 0.8333 Al
```

Summary:
The energy relative to the elements comes out at -0.11 eV per atom. The value obtained for the volume is 207.2 Å³/cell. As for the calculated density: 4.6 g/cm3. As for the energy above the most stable polymorph in this dataset: 0.0000 eV/atom. Its energy is -49.2 eV/cell.


[3]
Below is Ti3PtC after structural relaxation, with properties calculated at the PBE level.

```
Ti3PtC
1.0
2.9469 1.7014 4.7658
-2.9469 1.7014 4.7658
0.0000 -3.4027 4.7658
Ti Pt C
6 2 2
Direct
0.1842 0.7500 0.3158 Ti
0.2500 0.6842 0.8158 Ti
0.3158 0.1842 0.7500 Ti
0.6842 0.8158 0.2500 Ti
0.7500 0.3158 0.1842 Ti
0.8158 0.2500 0.6842 Ti
0.2500 0.2500 0.2500 Pt
0.7500 0.7500 0.7500 Pt
0.0000 0.0000 0.0000 C
0.5000 0.5000 0.5000 C
```

Summary:
The energy relative to the elements comes out at -0.82 eV per atom. The value obtained for the volume is 143.4 Å³/cell. As for the calculated density: 8.1 g/cm3. As for the energy above the most stable polymorph in this dataset: 0.0000 eV/atom. Its energy is -86.1 eV/cell.


[4]
Below is AcSmS2O after structural relaxation, with properties calculated at the PBE level.

```
AcSmS2O
1.0
4.1013 0.0000 0.0000
0.0000 4.1013 0.0000
0.0000 0.0000 14.4001
Ac Sm S O
2 2 4 2
Direct
0.2500 0.2500 0.0932 Ac
0.7500 0.7500 0.9068 Ac
0.2500 0.2500 0.6190 Sm
0.7500 0.7500 0.3810 Sm
0.2500 0.2500 0.4086 S
0.2500 0.2500 0.7961 S
0.7500 0.7500 0.2039 S
0.7500 0.7500 0.5914 S
0.2500 0.7500 0.0000 O
0.7500 0.2500 0.0000 O
```

Summary:
The value obtained for the volume is 242.2 Å³/cell. As for the calculated density: 6.3 g/cm3. The uncorrected formation energy is -2.52 eV/atom. Its energy is -69.3 eV/cell.


[5]
Below is Dy8SbSe6 after structural relaxation, with properties calculated at the PBE level.

```
Dy8SbSe6
1.0
10.4739 0.0000 0.0000
-5.2370 9.0707 0.0000
0.0000 0.0000 4.0724
Dy Sb Se
8 1 6
Direct
0.0347 0.7144 0.2553 Dy
0.2856 0.3202 0.2553 Dy
0.3202 0.0347 0.7447 Dy
0.3333 0.6667 0.7479 Dy
0.6667 0.3333 0.2521 Dy
0.6798 0.9653 0.2553 Dy
0.7144 0.6798 0.7447 Dy
0.9653 0.2856 0.7447 Dy
0.0000 0.0000 0.5000 Sb
0.1307 0.4819 0.2487 Se
0.3512 0.8693 0.2487 Se
0.4819 0.3512 0.7513 Se
0.5181 0.6488 0.2487 Se
0.6488 0.1307 0.7513 Se
0.8693 0.5181 0.7513 Se
```

Summary:
The value obtained for the volume is 386.9 Å³/cell. As for the calculated density: 8.1 g/cm3. The uncorrected formation energy is -1.35 eV/atom. Its energy is -82.1 eV/cell.


[6]
Below is La3Y4Tl4 after structural relaxation, with properties calculated at the PBE level.

```
La3Y4Tl4
1.0
-2.4005 4.3206 8.5781
2.4005 -4.3206 8.5781
2.4005 4.3206 -8.5781
La Y Tl
3 4 4
Direct
0.0000 0.0000 0.0000 La
0.3863 0.8863 0.5000 La
0.6137 0.1137 0.5000 La
0.0317 0.3298 0.7019 Y
0.3720 0.6702 0.7019 Y
0.6280 0.3298 0.2981 Y
0.9683 0.6702 0.2981 Y
0.2249 0.2249 0.0000 Tl
0.3099 0.5000 0.8099 Tl
0.6901 0.5000 0.1901 Tl
0.7751 0.7751 0.0000 Tl
```

Summary:
The energy relative to the elements comes out at -0.26 eV per atom. The value obtained for the volume is 355.9 Å³/cell. As for the calculated density: 7.4 g/cm3. Its energy is -53.0 eV/cell.


[7]
Below is K2NaCl after structural relaxation, with properties calculated at the PBE level.

```
K2NaCl
1.0
3.9463 0.0000 0.0000
0.0000 3.9463 0.0000
0.0000 0.0000 10.2779
K Na Cl
2 1 1
Direct
0.0000 0.0000 0.1825 K
0.0000 0.0000 0.8175 K
0.5000 0.5000 0.5000 Na
0.5000 0.5000 0.0000 Cl
```

Summary:
The value obtained for the volume is 160.1 Å³/cell. As for the calculated density: 1.4 g/cm3. The uncorrected formation energy is -0.88 eV/atom. As for the energy above the most stable polymorph in this dataset: 0.0264 eV/atom. Its energy is -8.9 eV/cell.


[8]
Below is La3Pr4 after structural relaxation, with properties calculated at the PBE level.

```
La3Pr4
1.0
-5.0675 5.0675 5.0675
5.0675 -5.0675 5.0675
5.0675 5.0675 -5.0675
La Pr
6 8
Direct
0.1250 0.7500 0.8750 La
0.2500 0.6250 0.3750 La
0.3750 0.2500 0.6250 La
0.6250 0.3750 0.2500 La
0.7500 0.8750 0.1250 La
0.8750 0.1250 0.7500 La
0.0000 0.3437 0.5000 Pr
0.0000 0.8437 0.5000 Pr
0.1563 0.1563 0.1563 Pr
0.3437 0.5000 0.0000 Pr
0.5000 0.0000 0.3437 Pr
0.5000 0.0000 0.8437 Pr
0.6563 0.6563 0.6563 Pr
0.8437 0.5000 0.0000 Pr
```

Summary:
The energy relative to the elements comes out at 0.24 eV per atom. The value obtained for the volume is 520.5 Å³/cell. As for the calculated density: 6.3 g/cm3. Its energy is -64.4 eV/cell.


[9]
Below is Tb3Pb2O after structural relaxation, with properties calculated at the PBE level.

```
Tb3Pb2O
1.0
6.2419 -3.1904 0.0000
6.2419 3.1904 0.0000
-1.4829 0.0000 8.2560
Tb Pb O
6 4 2
Direct
0.1338 0.8662 0.7500 Tb
0.2519 0.4608 0.3277 Tb
0.4608 0.2519 0.8277 Tb
0.5392 0.7481 0.1723 Tb
0.7481 0.5392 0.6723 Tb
0.8662 0.1338 0.2500 Tb
0.0844 0.2462 0.0192 Pb
0.2462 0.0844 0.5192 Pb
0.7538 0.9156 0.4808 Pb
0.9156 0.7538 0.9808 Pb
0.4705 0.5295 0.7500 O
0.5295 0.4705 0.2500 O
```

Summary:
The value obtained for the volume is 328.8 Å³/cell. As for the calculated density: 9.2 g/cm3. The uncorrected formation energy is -1.22 eV/atom. Its energy is -67.1 eV/cell.


[10]
Below is ZrNb2BiAu after structural relaxation, with properties calculated at the PBE level.

```
ZrNb2BiAu
1.0
5.1805 0.0000 0.0000
0.0000 5.1805 0.0000
0.0000 0.0000 5.0666
Zr Nb Bi Au
1 2 1 1
Direct
0.0000 0.0000 0.0000 Zr
0.0000 0.5000 0.5000 Nb
0.5000 0.0000 0.5000 Nb
0.5000 0.5000 0.5000 Bi
0.5000 0.5000 0.0000 Au
```

Summary:
The energy relative to the elements comes out at 1.48 eV per atom. The value obtained for the volume is 136.0 Å³/cell. As for the calculated density: 8.3 g/cm3. Its energy is -28.5 eV/cell.


[11]
Below is ThBeCo4Si2 after structural relaxation, with properties calculated at the PBE level.

```
ThBeCo4Si2
1.0
1.9213 1.1093 8.0596
-1.9213 1.1093 8.0596
0.0000 -2.2185 8.0596
Th Be Co Si
1 1 4 2
Direct
0.0000 0.0000 0.0000 Th
0.5000 0.5000 0.5000 Be
0.1352 0.1352 0.1352 Co
0.4088 0.4088 0.4088 Co
0.5912 0.5912 0.5912 Co
0.8648 0.8648 0.8648 Co
0.2321 0.2321 0.2321 Si
0.7679 0.7679 0.7679 Si
```

Summary:
The value obtained for the volume is 103.1 Å³/cell. As for the calculated density: 8.6 g/cm3. The uncorrected formation energy is -0.60 eV/atom. Its energy is -55.2 eV/cell.


[12]
Below is SrGa2NiRu after structural relaxation, with properties calculated at the PBE level.

```
SrGa2NiRu
1.0
4.2835 0.0000 0.0000
0.0000 4.2835 0.0000
0.0000 0.0000 10.4723
Sr Ga Ni Ru
2 4 2 2
Direct
0.0000 0.0000 0.0000 Sr
0.5000 0.5000 0.5000 Sr
0.0000 0.0000 0.3623 Ga
0.0000 0.0000 0.6377 Ga
0.5000 0.5000 0.1377 Ga
0.5000 0.5000 0.8623 Ga
0.0000 0.5000 0.2500 Ni
0.5000 0.0000 0.7500 Ni
0.0000 0.5000 0.7500 Ru
0.5000 0.0000 0.2500 Ru
```

Summary:
The energy relative to the elements comes out at -0.36 eV per atom. The value obtained for the volume is 192.2 Å³/cell. As for the calculated density: 6.7 g/cm3. Its energy is -49.2 eV/cell.